No. 1
BeIn2Fe, optimized geometry, DFT GGA-PBE; formation energy = 0.468 eV per atom; DFT total energy = -3.948 eV/atom
1.0
2.877 -3.829 0.000
2.877 3.829 0.000
0.000 0.000 3.005
Be In Fe
1 2 1
direct
0.000 0.000 0.000
0.000 0.500 0.500
0.500 0.000 0.500
0.500 0.500 0.000


No. 2
BeInFe2, optimized geometry, DFT GGA-PBE; formation energy = 0.370 eV per atom; DFT total energy = -5.478 eV/atom; distance to the lowest polymorph of the same formula = 219 meV/atom
1.0
1.535 0.886 6.675
-1.535 0.886 6.675
0.000 -1.772 6.675
Be In Fe
1 1 2
direct
0.000 0.000 0.000
0.500 0.500 0.500
0.274 0.274 0.274
0.726 0.726 0.726


No. 3
BeIn2Fe, optimized geometry, DFT GGA-PBE; formation energy = 0.449 eV per atom; DFT total energy = -3.967 eV/atom
1.0
-2.024 2.024 3.997
2.024 -2.024 3.997
2.024 2.024 -3.997
Be In Fe
1 2 1
direct
0.000 0.000 0.000
0.250 0.750 0.500
0.750 0.250 0.500
0.500 0.500 0.000


No. 4
BeInFe4, optimized geometry, DFT GGA-PBE; formation energy = 0.286 eV per atom; DFT total energy = -6.434 eV/atom
1.0
0.000 3.398 3.398
3.398 0.000 3.398
3.398 3.398 0.000
Be In Fe
1 1 4
direct
0.000 0.000 0.000
0.250 0.250 0.250
0.122 0.626 0.626
0.626 0.122 0.626
0.626 0.626 0.122
0.626 0.626 0.626


Please write out number 1 again, unchanged.
BeIn2Fe, optimized geometry, DFT GGA-PBE; formation energy = 0.468 eV per atom; DFT total energy = -3.948 eV/atom
1.0
2.877 -3.829 0.000
2.877 3.829 0.000
0.000 0.000 3.005
Be In Fe
1 2 1
direct
0.000 0.000 0.000
0.000 0.500 0.500
0.500 0.000 0.500
0.500 0.500 0.000


- Look up the DFT total energy of the third one.
  -3.967 eV/atom


- The lowest formation energy belongs to which entry?
  BeInFe4